DFT (GGA-PBE) results for a relaxed HoPu2Fe crystal.

The space group is P4/mmm (No. 123) and the conventional cell measures 3.298, 3.298 and 8.665 Å, with angles of 90.00, 90.00 and 90.00 degrees. The asymmetric unit holds Ho at (0.000, 0.000, 0.000), Pu at (0.500, 0.500, 0.308) and Fe at (0.000, 0.000, 0.500).

The value obtained for the energy of formation is 0.126 eV per atom. Its distance to the lowest polymorph of the same formula is 0 meV/atom.